DFT (PBE) results for a geometry-optimized FeCu5Pd6 structure.

a = 8.669 Å, b = 4.766 Å, c = 4.761 Å
α = 59.97°, β = 84.71°, γ = 79.39°
Site moments in Bohr magnetons follow the coordinates.
Atoms (fractional coordinates):
Fe 0.000 0.000 0.000  3.21
Cu 0.500 0.165 0.670  0.01
Cu 0.000 0.333 0.334  0.07
Cu 0.500 0.500 0.000  0.02
Cu 0.000 0.667 0.666  0.07
Cu 0.500 0.835 0.330  0.01
Pd 0.751 0.083 0.333  0.12
Pd 0.249 0.584 0.333  0.12
Pd 0.247 0.250 0.000  0.12
Pd 0.753 0.750 0.000  0.12
Pd 0.751 0.416 0.667  0.12
Pd 0.249 0.917 0.667  0.12

uncorrected energy = -5.0685 eV per atom
calculated volume = 167.4 Å³/cell
offset from the most stable computed form = 0.067 eV/atom
SG = C2/m (12)

---

DFT (PBE) results for a geometry-optimized FeCuPd4 structure.

a = 4.130 Å, b = 4.131 Å, c = 7.137 Å
α = 73.12°, β = 73.18°, γ = 60.01°
Site moments in Bohr magnetons follow the coordinates.
Atoms (fractional coordinates):
Fe 0.000 0.000 0.000  3.30
Cu 0.500 0.500 0.500  0.06
Pd 0.626 0.625 0.124  0.37
Pd 0.374 0.375 0.876  0.37
Pd 0.124 0.124 0.628  0.25
Pd 0.876 0.876 0.372  0.25

uncorrected energy = -5.3803 eV per atom
calculated volume = 99.4 Å³/cell
offset from the most stable computed form = 0.204 eV/atom
SG = R-3m (166)